Density functional theory data (PBE) for a relaxed AcMgAl2Pd crystal.

Output
Total moment ... 0.00 μB per formula unit
Calculated total energy ... -21.1 eV per formula unit
Formation enthalpy at 0 K ... -0.547 eV/atom

POSCAR file:
```
AcMgAl2Pd
1.0
4.4636 0.0000 0.0000
0.0000 4.5177 0.0000
-2.2318 -2.2588 5.6473
Ac Mg Al Pd
1 1 2 1
Cartesian
0.0000 0.0000 5.0483
0.0000 2.2588 2.2153
2.2318 0.0000 2.2255
0.0000 0.0000 0.5493
2.2318 2.2588 3.6523
```